Record 1
# PBEsol ZrCrGe3, optimized geometry
# energy of formation	0.36	eV/atom
# M_tot	0.698	μB per formula unit
# volume	92.6	Å³ per cell
data_ZrCrGe3
_chemical_formula_sum 'Zr1 Cr1 Ge3'
_cell_length_a 4.525
_cell_length_b 4.525
_cell_length_c 4.525
_cell_angle_alpha 90.00
_cell_angle_beta 90.00
_cell_angle_gamma 90.00
_space_group_name_H-M_alt 'P 1'
_space_group_IT_number 1
_space_group_name_Hall 'P 1'
loop_
_atom_site_label
_atom_site_type_symbol
_atom_site_fract_x
_atom_site_fract_y
_atom_site_fract_z
Zr1 Zr 0.000 0.000 0.000
Cr1 Cr 0.500 0.500 0.500
Ge1 Ge 0.000 0.500 0.500
Ge2 Ge 0.500 0.000 0.500
Ge3 Ge 0.500 0.500 0.000

=====

Record 2
# PBEsol ZrCrGe3, optimized geometry
# energy of formation	0.91	eV/atom
# M_tot	4.614	μB per formula unit
# volume	130.5	Å³ per cell
data_ZrCrGe3
_chemical_formula_sum 'Zr1 Cr1 Ge3'
_cell_length_a 5.073
_cell_length_b 5.073
_cell_length_c 5.073
_cell_angle_alpha 90.00
_cell_angle_beta 90.00
_cell_angle_gamma 90.00
_space_group_name_H-M_alt 'P 1'
_space_group_IT_number 1
_space_group_name_Hall 'P 1'
loop_
_atom_site_label
_atom_site_type_symbol
_atom_site_fract_x
_atom_site_fract_y
_atom_site_fract_z
Zr1 Zr 0.000 0.000 0.000
Cr1 Cr 0.500 0.500 0.500
Ge1 Ge 0.000 0.000 0.500
Ge2 Ge 0.000 0.500 0.000
Ge3 Ge 0.500 0.000 0.000

=====

Record 3
# PBEsol HfCrH3, optimized geometry
# E_tot	-0.214	Ha/atom
# M_tot	3.964	μB per formula unit
# volume	49.9	Å³ per cell
data_HfCrH3
_chemical_formula_sum 'Hf1 Cr1 H3'
_cell_length_a 3.681
_cell_length_b 3.681
_cell_length_c 3.681
_cell_angle_alpha 90.00
_cell_angle_beta 90.00
_cell_angle_gamma 90.00
_space_group_name_H-M_alt 'P 1'
_space_group_IT_number 1
_space_group_name_Hall 'P 1'
loop_
_atom_site_label
_atom_site_type_symbol
_atom_site_fract_x
_atom_site_fract_y
_atom_site_fract_z
Hf1 Hf 0.000 0.000 0.000
Cr1 Cr 0.500 0.500 0.500
H1 H 0.000 0.000 0.500
H2 H 0.000 0.500 0.000
H3 H 0.500 0.000 0.000

=====

Record 4
# PBEsol HfCrH2, optimized geometry
# E_tot	-0.255	Ha/atom
# M_tot	0.760	μB per formula unit
# volume	75.6	Å³ per cell
data_HfCrH2
_chemical_formula_sum 'Hf2 Cr2 H4'
_cell_length_a 5.533
_cell_length_b 5.533
_cell_length_c 5.533
_cell_angle_alpha 137.78
_cell_angle_beta 137.78
_cell_angle_gamma 61.24
_space_group_name_H-M_alt 'P 1'
_space_group_IT_number 1
_space_group_name_Hall 'P 1'
loop_
_atom_site_label
_atom_site_type_symbol
_atom_site_fract_x
_atom_site_fract_y
_atom_site_fract_z
Hf1 Hf 0.000 0.000 0.000
Hf2 Hf 0.750 0.250 0.500
Cr1 Cr 0.250 0.750 0.500
Cr2 Cr 0.500 0.500 0.000
H1 H 0.189 0.625 0.064
H2 H 0.375 0.439 0.564
H3 H 0.561 0.125 0.936
H4 H 0.875 0.811 0.436

=====

Record 5
# PBEsol Cr2HgH2, optimized geometry
# E_tot	-0.191	Ha/atom
# M_tot	0.002	μB per formula unit
# volume	50.8	Å³ per cell
data_Cr2HgH2
_chemical_formula_sum 'Cr2 Hg1 H2'
_cell_length_a 5.100
_cell_length_b 5.100
_cell_length_c 5.100
_cell_angle_alpha 141.61
_cell_angle_beta 141.61
_cell_angle_gamma 55.42
_space_group_name_H-M_alt 'P 1'
_space_group_IT_number 1
_space_group_name_Hall 'P 1'
loop_
_atom_site_label
_atom_site_type_symbol
_atom_site_fract_x
_atom_site_fract_y
_atom_site_fract_z
Cr1 Cr 0.250 0.750 0.500
Cr2 Cr 0.750 0.250 0.500
Hg1 Hg 0.000 0.000 0.000
H1 H 0.335 0.335 0.000
H2 H 0.665 0.665 0.000

=====

Record 6
# PBEsol Cr2Hg2H2O9, optimized geometry
# E_tot	-0.228	Ha/atom
# M_tot	0.000	μB per formula unit
# volume	382.9	Å³ per cell
data_Cr2Hg2H2O9
_chemical_formula_sum 'Cr4 Hg4 H4 O18'
_cell_length_a 6.501
_cell_length_b 6.501
_cell_length_c 13.244
_cell_angle_alpha 107.39
_cell_angle_beta 107.39
_cell_angle_gamma 46.34
_space_group_name_H-M_alt 'P 1'
_space_group_IT_number 1
_space_group_name_Hall 'P 1'
loop_
_atom_site_label
_atom_site_type_symbol
_atom_site_fract_x
_atom_site_fract_y
_atom_site_fract_z
Cr1 Cr 0.047 0.654 0.901
Cr2 Cr 0.346 0.953 0.599
Cr3 Cr 0.654 0.047 0.401
Cr4 Cr 0.953 0.346 0.099
Hg1 Hg 0.162 0.595 0.625
Hg2 Hg 0.405 0.838 0.875
Hg3 Hg 0.595 0.162 0.125
Hg4 Hg 0.838 0.405 0.375
H1 H 0.188 0.742 0.290
H2 H 0.258 0.812 0.210
H3 H 0.742 0.188 0.790
H4 H 0.812 0.258 0.710
O1 O 0.086 0.812 0.834
O2 O 0.110 0.297 0.573
O3 O 0.127 0.364 0.831
O4 O 0.188 0.914 0.666
O5 O 0.250 0.581 0.014
O6 O 0.297 0.110 0.073
O7 O 0.344 0.656 0.250
O8 O 0.364 0.127 0.331
O9 O 0.419 0.750 0.486
O10 O 0.581 0.250 0.514
O11 O 0.636 0.873 0.669
O12 O 0.656 0.344 0.750
O13 O 0.703 0.890 0.927
O14 O 0.750 0.419 0.986
O15 O 0.812 0.086 0.334
O16 O 0.873 0.636 0.169
O17 O 0.890 0.703 0.427
O18 O 0.914 0.188 0.166

=====

Record 7
# PBEsol CrH3I, optimized geometry
# E_tot	-0.111	Ha/atom
# M_tot	5.394	μB per formula unit
# volume	72.5	Å³ per cell
data_CrH3I
_chemical_formula_sum 'Cr1 H3 I1'
_cell_length_a 4.169
_cell_length_b 4.169
_cell_length_c 4.169
_cell_angle_alpha 90.00
_cell_angle_beta 90.00
_cell_angle_gamma 90.00
_space_group_name_H-M_alt 'P 1'
_space_group_IT_number 1
_space_group_name_Hall 'P 1'
loop_
_atom_site_label
_atom_site_type_symbol
_atom_site_fract_x
_atom_site_fract_y
_atom_site_fract_z
Cr1 Cr 0.000 0.000 0.000
H1 H 0.000 0.500 0.500
H2 H 0.500 0.000 0.500
H3 H 0.500 0.500 0.000
I1 I 0.500 0.500 0.500

=====

Record 8
# PBEsol CrHIN2, optimized geometry
# distance to the lowest polymorph of the same formula	0.00	kcal/mol of atoms
# M_tot	0.038	μB per formula unit
# volume	70.0	Å³ per cell
data_CrHIN2
_chemical_formula_sum 'Cr1 H1 I1 N2'
_cell_length_a 3.560
_cell_length_b 3.560
_cell_length_c 5.522
_cell_angle_alpha 90.00
_cell_angle_beta 90.00
_cell_angle_gamma 90.00
_space_group_name_H-M_alt 'P 1'
_space_group_IT_number 1
_space_group_name_Hall 'P 1'
loop_
_atom_site_label
_atom_site_type_symbol
_atom_site_fract_x
_atom_site_fract_y
_atom_site_fract_z
Cr1 Cr 0.000 0.000 0.000
H1 H 0.500 0.500 0.500
I1 I 0.000 0.000 0.500
N1 N 0.000 0.500 0.000
N2 N 0.500 0.000 0.000

=====

Record 9
# PBEsol CrH18I7N6, optimized geometry
# E_tot	-0.169	Ha/atom
# M_tot	3.002	μB per formula unit
# volume	489.6	Å³ per cell
data_CrH18I7N6
_chemical_formula_sum 'Cr1 H18 I7 N6'
_cell_length_a 8.798
_cell_length_b 8.798
_cell_length_c 9.454
_cell_angle_alpha 118.58
_cell_angle_beta 118.58
_cell_angle_gamma 52.25
_space_group_name_H-M_alt 'P 1'
_space_group_IT_number 1
_space_group_name_Hall 'P 1'
loop_
_atom_site_label
_atom_site_type_symbol
_atom_site_fract_x
_atom_site_fract_y
_atom_site_fract_z
Cr1 Cr 0.000 0.000 0.000
H1 H 0.056 0.268 0.007
H2 H 0.088 0.784 0.703
H3 H 0.176 0.632 0.813
H4 H 0.197 0.197 0.181
H5 H 0.216 0.912 0.297
H6 H 0.257 0.704 0.143
H7 H 0.268 0.056 0.007
H8 H 0.296 0.743 0.857
H9 H 0.368 0.824 0.187
H10 H 0.632 0.176 0.813
H11 H 0.704 0.257 0.143
H12 H 0.732 0.944 0.993
H13 H 0.743 0.296 0.857
H14 H 0.784 0.088 0.703
H15 H 0.803 0.803 0.819
H16 H 0.824 0.368 0.187
H17 H 0.912 0.216 0.297
H18 H 0.944 0.732 0.993
I1 I 0.104 0.104 0.625
I2 I 0.313 0.313 0.492
I3 I 0.332 0.332 0.950
I4 I 0.500 0.500 0.500
I5 I 0.668 0.668 0.050
I6 I 0.687 0.687 0.508
I7 I 0.896 0.896 0.375
N1 N 0.145 0.145 0.053
N2 N 0.153 0.768 0.823
N3 N 0.232 0.847 0.177
N4 N 0.768 0.153 0.823
N5 N 0.847 0.232 0.177
N6 N 0.855 0.855 0.947

=====

Record 10
# PBEsol CrHIN2, optimized geometry
# distance to the lowest polymorph of the same formula	29.27	kcal/mol of atoms
# M_tot	3.098	μB per formula unit
# volume	55.4	Å³ per cell
data_CrHIN2
_chemical_formula_sum 'Cr1 H1 I1 N2'
_cell_length_a 4.035
_cell_length_b 4.035
_cell_length_c 3.405
_cell_angle_alpha 90.00
_cell_angle_beta 90.00
_cell_angle_gamma 90.00
_space_group_name_H-M_alt 'P 1'
_space_group_IT_number 1
_space_group_name_Hall 'P 1'
loop_
_atom_site_label
_atom_site_type_symbol
_atom_site_fract_x
_atom_site_fract_y
_atom_site_fract_z
Cr1 Cr 0.000 0.000 0.000
H1 H 0.500 0.500 0.500
I1 I 0.500 0.500 0.000
N1 N 0.000 0.500 0.500
N2 N 0.500 0.000 0.500

=====

Repeat the tenth record exactly.
# PBEsol CrHIN2, optimized geometry
# distance to the lowest polymorph of the same formula	29.27	kcal/mol of atoms
# M_tot	3.098	μB per formula unit
# volume	55.4	Å³ per cell
data_CrHIN2
_chemical_formula_sum 'Cr1 H1 I1 N2'
_cell_length_a 4.035
_cell_length_b 4.035
_cell_length_c 3.405
_cell_angle_alpha 90.00
_cell_angle_beta 90.00
_cell_angle_gamma 90.00
_space_group_name_H-M_alt 'P 1'
_space_group_IT_number 1
_space_group_name_Hall 'P 1'
loop_
_atom_site_label
_atom_site_type_symbol
_atom_site_fract_x
_atom_site_fract_y
_atom_site_fract_z
Cr1 Cr 0.000 0.000 0.000
H1 H 0.500 0.500 0.500
I1 I 0.500 0.500 0.000
N1 N 0.000 0.500 0.500
N2 N 0.500 0.000 0.500

=====

Please write out number 4 again, unchanged.
# PBEsol HfCrH2, optimized geometry
# E_tot	-0.255	Ha/atom
# M_tot	0.760	μB per formula unit
# volume	75.6	Å³ per cell
data_HfCrH2
_chemical_formula_sum 'Hf2 Cr2 H4'
_cell_length_a 5.533
_cell_length_b 5.533
_cell_length_c 5.533
_cell_angle_alpha 137.78
_cell_angle_beta 137.78
_cell_angle_gamma 61.24
_space_group_name_H-M_alt 'P 1'
_space_group_IT_number 1
_space_group_name_Hall 'P 1'
loop_
_atom_site_label
_atom_site_type_symbol
_atom_site_fract_x
_atom_site_fract_y
_atom_site_fract_z
Hf1 Hf 0.000 0.000 0.000
Hf2 Hf 0.750 0.250 0.500
Cr1 Cr 0.250 0.750 0.500
Cr2 Cr 0.500 0.500 0.000
H1 H 0.189 0.625 0.064
H2 H 0.375 0.439 0.564
H3 H 0.561 0.125 0.936
H4 H 0.875 0.811 0.436

=====

Q: Which value of M_tot does entry 2 give?
A: 4.614 μB per formula unit

=====

Q: Which formula does entry 1 have?
A: ZrCrGe3